[1]
{"formula": "PuSe2O3F6", "functional": "PBE", "state": "relaxed", "total_magnetization_mub_per_atom": 0.333, "dos_at_fermi_per_ev_cell": 13.549, "space_group": "C2/m, No. 12", "raw_formation_energy_mev_per_atom": -1915.0, "cell": [[1.306, 6.985, -2.737], [-4.159, -0.717, -3.821], [-2.376, -4.832, 7.743]], "species": ["F", "O", "Pu", "F", "O", "F", "O", "Se", "F", "Se", "F", "F"], "fractional_positions": [[0.125, 0.627, 0.768], [0.000, 0.500, 0.000], [0.500, 0.000, 0.000], [0.459, 0.866, 0.730], [0.500, 0.000, 0.500], [0.124, 0.141, 0.769], [0.500, 0.500, 0.500], [0.770, 0.329, 0.657], [0.541, 0.134, 0.270], [0.230, 0.671, 0.343], [0.876, 0.859, 0.231], [0.875, 0.373, 0.232]]}

[2]
{"formula": "Pa4Ge8Pt", "functional": "PBE", "state": "relaxed", "total_magnetization_mub_per_atom": 0.042, "dos_at_fermi_per_ev_cell": 15.318, "space_group": "Pmm2, No. 25", "delta_e_f_ev_per_atom": -0.463, "cell": [[-1.780, 2.257, -2.860], [-3.090, 0.849, 2.593], [8.055, 13.085, 5.312]], "species": ["Pt", "Ge", "Ge", "Pa", "Ge", "Ge", "Ge", "Pa", "Ge", "Ge", "Pa", "Ge", "Pa"], "fractional_positions": [[0.000, 0.000, 0.321], [0.500, 0.000, 0.572], [0.500, 0.500, 0.044], [0.500, 0.500, 0.404], [0.000, 0.500, 0.229], [0.000, 0.000, 0.472], [0.000, 0.000, 0.752], [0.500, 0.000, 0.890], [0.000, 0.500, 0.935], [0.500, 0.500, 0.751], [0.000, 0.000, 0.093], [0.500, 0.000, 0.228], [0.000, 0.500, 0.612]]}

[3]
{"formula": "SbPd6Se3", "functional": "PBE", "state": "relaxed", "total_magnetization_mub_per_atom": 0.000, "dos_at_fermi_per_ev_cell": 13.459, "space_group": "Cmc2_1, No. 36", "raw_formation_energy_mev_per_atom": -194.5, "cell": [[-0.691, 5.079, 2.729], [-7.457, -2.563, 2.881], [6.057, -2.090, 5.425]], "species": ["Se", "Pd", "Pd", "Pd", "Se", "Pd", "Pd", "Se", "Pd", "Se", "Sb", "Sb", "Pd", "Se", "Pd", "Pd", "Pd", "Pd", "Se", "Pd"], "fractional_positions": [[0.027, 0.597, 0.403], [0.724, 0.378, 0.317], [0.724, 0.683, 0.622], [0.224, 0.317, 0.378], [0.417, 0.909, 0.705], [0.224, 0.622, 0.683], [0.555, 0.227, 0.773], [0.527, 0.403, 0.597], [0.190, 0.981, 0.019], [0.417, 0.295, 0.091], [0.494, 0.819, 0.181], [0.994, 0.181, 0.819], [0.218, 0.047, 0.515], [0.917, 0.091, 0.295], [0.718, 0.515, 0.047], [0.690, 0.019, 0.981], [0.218, 0.485, 0.953], [0.055, 0.773, 0.227], [0.917, 0.705, 0.909], [0.718, 0.953, 0.485]]}

[4]
{"formula": "Nd4AsI5", "functional": "PBE", "state": "relaxed", "total_magnetization_mub_per_atom": 0.000, "dos_at_fermi_per_ev_cell": 3.301, "space_group": "C2/m, No. 12", "raw_formation_energy_mev_per_atom": -1359.4, "cell": [[4.303, 0.000, 0.000], [0.000, 9.063, 0.117], [-2.151, -2.279, 9.523]], "species": ["Nd", "Nd", "Nd", "I", "I", "Nd", "I", "As", "I", "I"], "fractional_positions": [[0.352, 0.927, 0.705], [0.000, 0.214, 0.999], [0.648, 0.073, 0.295], [0.171, 0.824, 0.343], [0.500, 0.500, 0.000], [0.000, 0.786, 0.001], [0.166, 0.338, 0.332], [0.500, 0.000, 0.000], [0.829, 0.176, 0.657], [0.834, 0.662, 0.668]]}

[5]
{"formula": "K6GeSb4", "functional": "PBE", "state": "relaxed", "total_magnetization_mub_per_atom": 0.184, "dos_at_fermi_per_ev_cell": 19.032, "space_group": "P6_3mc, No. 186", "raw_formation_energy_mev_per_atom": -312.8, "cell": [[-7.783, -0.532, 1.460], [-2.174, 1.010, -11.225], [1.578, -10.384, 4.628]], "species": ["K", "Ge", "K", "K", "Sb", "K", "Sb", "Sb", "Ge", "K", "K", "K", "K", "K", "Sb", "K", "K", "Sb", "Sb", "Sb", "K", "Sb"], "fractional_positions": [[0.641, 0.966, 0.483], [0.292, 0.667, 0.333], [0.141, 0.483, 0.966], [0.913, 0.850, 0.150], [0.862, 0.601, 0.800], [0.641, 0.517, 0.034], [0.953, 0.667, 0.333], [0.453, 0.333, 0.667], [0.792, 0.333, 0.667], [0.913, 0.300, 0.150], [0.141, 0.034, 0.517], [0.413, 0.700, 0.850], [0.913, 0.850, 0.700], [0.413, 0.150, 0.850], [0.362, 0.399, 0.200], [0.641, 0.517, 0.483], [0.141, 0.483, 0.517], [0.862, 0.200, 0.800], [0.362, 0.800, 0.601], [0.862, 0.200, 0.399], [0.413, 0.150, 0.300], [0.362, 0.800, 0.200]]}

[6]
{"formula": "Nd6As5P", "functional": "PBE", "state": "relaxed", "total_magnetization_mub_per_atom": 0.000, "dos_at_fermi_per_ev_cell": 1.050, "space_group": "C2/m, No. 12", "delta_e_f_ev_per_atom": -1.515, "cell": [[7.286, 0.178, 1.107], [1.790, 6.179, 3.602], [0.122, 0.067, 7.370]], "species": ["As", "P", "Nd", "As", "Nd", "Nd", "Nd", "Nd", "Nd", "As", "As", "As"], "fractional_positions": [[0.500, 0.168, 0.665], [0.000, 0.000, 0.000], [0.752, 0.083, 0.329], [0.000, 0.667, 0.667], [0.752, 0.753, 0.000], [0.248, 0.247, 0.000], [0.752, 0.412, 0.671], [0.248, 0.917, 0.671], [0.248, 0.588, 0.329], [0.000, 0.333, 0.333], [0.500, 0.500, 0.000], [0.500, 0.832, 0.335]]}